Computed, not measured: a relaxed structure of Na2TlPt at the PBE level of DFT.

Cell and atoms, written as POSCAR:
```
Na2TlPt
1.0
4.144 0.000 0.000
0.000 4.144 0.000
0.000 0.000 21.487
Na Tl Pt
8 4 4
Cartesian
0.952 1.036 2.686
1.036 3.024 8.058
1.036 3.192 18.801
1.120 1.036 13.429
3.024 3.108 13.429
3.108 0.952 18.801
3.108 1.120 8.058
3.192 3.108 2.686
0.000 0.000 10.744
0.000 2.072 16.115
2.072 0.000 5.372
2.072 2.072 0.000
0.000 0.000 0.000
0.000 2.072 5.372
2.072 0.000 16.115
2.072 2.072 10.744
```

DFT formation energy = 0.0314 eV/atom
Energy = -2.73 eV/atom
Magnetization = 0.00 Bohr magnetons per cell

***

Computed, not measured: a relaxed structure of Tc2Ag5F12 at the PBE level of DFT.

Cell and atoms, written as POSCAR:
```
Tc2Ag5F12
1.0
6.869 -3.043 0.000
6.869 3.043 0.000
-3.294 0.000 7.723
Tc Ag F
2 5 12
Cartesian
6.869 1.595 0.000
6.869 -1.595 0.000
0.072 0.000 6.247
1.690 0.000 3.618
5.222 0.000 3.862
8.755 0.000 4.105
10.373 0.000 1.476
-0.082 0.000 1.474
1.628 1.572 7.632
3.502 1.481 3.255
8.816 1.572 0.091
6.943 1.481 4.468
3.628 0.000 6.406
6.817 0.000 1.317
3.502 -1.481 3.255
1.628 -1.572 7.632
6.943 -1.481 4.468
8.816 -1.572 0.091
10.527 0.000 6.249
```

Energy = -4.42 eV/atom
Formation energy without anion corrections = -1.39 eV per atom
Magnetization = 4.88 Bohr magnetons per cell

***

Computed, not measured: a relaxed structure of CsSr2OsO6 at the PBE level of DFT.

Cell and atoms, written as POSCAR:
```
CsSr2OsO6
1.0
3.058 1.765 5.640
-3.058 1.765 5.640
0.000 -3.531 5.640
Cs Sr Os O
1 2 1 6
Cartesian
0.000 0.000 0.000
0.000 0.000 4.101
0.000 0.000 13.015
0.000 0.000 7.371
-1.437 -0.455 6.158
-0.621 -1.486 8.396
1.112 -1.017 6.158
-0.976 1.281 8.396
0.324 1.472 6.158
1.597 0.205 8.396
```

Energy = -6.37 eV/atom
Formation energy without anion corrections = -1.85 eV per atom
Magnetization = 1.04 Bohr magnetons per cell

***

Computed, not measured: a relaxed structure of TaHgI6 at the PBE level of DFT.

Cell and atoms, written as POSCAR:
```
TaHgI6
1.0
3.725 2.151 6.703
-3.725 2.151 6.703
0.000 -4.301 6.703
Ta Hg I
1 1 6
Cartesian
0.000 0.000 0.000
0.000 0.000 10.055
-1.262 -2.409 8.286
-2.717 -0.112 11.824
-1.456 2.298 8.286
1.456 -2.298 11.823
2.717 0.112 8.286
1.262 2.409 11.824
```

Excess energy over the best structure of this formula in the dataset = 36 meV/atom
Energy = -2.99 eV/atom
Formation energy without anion corrections = -0.31 eV per atom
Magnetization = 0.00 Bohr magnetons per cell

***

Computed, not measured: a relaxed structure of Ce5Zr2O12 at the PBE level of DFT.

Cell and atoms, written as POSCAR:
```
Ce5Zr2O12
1.0
6.453 -3.118 0.000
6.453 3.118 0.000
-2.191 0.000 7.245
Ce Zr O
5 2 12
Cartesian
0.000 0.000 0.000
3.591 0.000 1.009
2.454 0.000 4.810
8.261 0.000 2.435
7.124 0.000 6.236
5.358 1.592 3.623
5.358 -1.592 3.623
-0.644 0.000 2.262
2.422 1.581 6.725
3.366 1.428 2.965
8.293 1.581 0.520
7.349 1.428 4.280
4.903 0.000 4.991
5.813 0.000 2.254
3.366 -1.428 2.965
2.422 -1.581 6.725
7.349 -1.428 4.280
8.293 -1.581 0.520
11.360 0.000 4.983
```

Energy = -8.97 eV/atom
Formation energy without anion corrections = -3.38 eV per atom
Magnetization = 4.04 Bohr magnetons per cell

***

Computed, not measured: a relaxed structure of LuThBe4 at the PBE level of DFT.

Cell and atoms, written as POSCAR:
```
LuThBe4
1.0
0.000 3.579 3.579
3.579 0.000 3.579
3.579 3.579 0.000
Lu Th Be
1 1 4
Cartesian
0.000 0.000 0.000
5.368 5.368 5.368
2.655 2.655 2.655
4.503 4.503 2.655
4.503 2.655 4.503
2.655 4.503 4.503
```

DFT formation energy = 0.1183 eV/atom
Energy = -4.36 eV/atom
Magnetization = 0.00 Bohr magnetons per cell